(1)
The following is a DFT calculation (PBE-GGA) of crystalline RbMg3Br at its relaxed geometry. Values from VASP.

Energy relative to the lowest polymorph listed for this composition: 0.000 eV/atom
Energy relative to the elements, uncorrected: 0.21 eV per atom
Fermi-level density of states: 0.45 states/eV/atom
Calculated total energy: -6.38 eV per formula unit

Cell and atoms, written as Quantum ESPRESSO input:
```
&SYSTEM
  ibrav = 0, nat = 5, ntyp = 3
/
ATOMIC_SPECIES
Mg 24.30 Mg.upf
Br 79.90 Br.upf
Rb 85.47 Rb.upf
CELL_PARAMETERS angstrom
6.0472 0.0000 0.0000
0.0000 6.0472 0.0000
0.0000 0.0000 6.0472
ATOMIC_POSITIONS crystal
Mg 0.0000 0.5000 0.0000
Mg 0.0000 0.0000 0.5000
Mg 0.5000 0.0000 0.0000
Br 0.0000 0.0000 0.0000
Rb 0.5000 0.5000 0.5000
```

***

(2)
The following is a DFT calculation (PBE-GGA) of crystalline RbMgBr2 at its relaxed geometry. Values from VASP.

Energy relative to the lowest polymorph listed for this composition: 0.138 eV/atom
Energy relative to the elements, uncorrected: -0.95 eV per atom
Fermi-level density of states: 0.40 states/eV/atom
Calculated total energy: -9.72 eV per formula unit

Cell and atoms, written as Quantum ESPRESSO input:
```
&SYSTEM
  ibrav = 0, nat = 4, ntyp = 3
/
ATOMIC_SPECIES
Mg 24.30 Mg.upf
Br 79.90 Br.upf
Rb 85.47 Rb.upf
CELL_PARAMETERS angstrom
5.3884 -1.0447 -1.4519
1.8185 -5.3553 -0.4984
1.1976 -2.1258 -5.1265
ATOMIC_POSITIONS crystal
Mg 0.0000 0.0000 0.0000
Br 0.2500 0.2500 0.2500
Br 0.7500 0.7500 0.7500
Rb 0.5000 0.5000 0.5000
```

***

(3)
The following is a DFT calculation (PBE-GGA) of crystalline Rb5MgBr8 at its relaxed geometry. Values from VASP.

Energy relative to the elements, uncorrected: -1.46 eV per atom
Fermi-level density of states: 0.94 states/eV/atom
Calculated total energy: -40.32 eV per formula unit

Cell and atoms, written as Quantum ESPRESSO input:
```
&SYSTEM
  ibrav = 0, nat = 14, ntyp = 3
/
ATOMIC_SPECIES
Rb 85.47 Rb.upf
Mg 24.30 Mg.upf
Br 79.90 Br.upf
CELL_PARAMETERS angstrom
8.7234 0.0000 -2.4630
-4.6064 7.0778 -3.2941
0.4894 0.0000 9.0513
ATOMIC_POSITIONS crystal
Rb 0.0170 0.3993 0.1423
Rb 0.8577 0.8747 0.2570
Rb 0.7430 0.6007 0.6177
Rb 0.5000 0.0000 0.5000
Rb 0.3823 0.1253 0.9830
Mg 0.2500 0.5000 0.7500
Br 0.1320 0.6844 0.9318
Br 0.0682 0.2001 0.7525
Br 0.7375 0.2204 0.3266
Br 0.6734 0.4109 0.8938
Br 0.4829 0.5891 0.2625
Br 0.5524 0.7999 0.8680
Br 0.2475 0.3156 0.4476
Br 0.1062 0.7796 0.5171
```

***

(4)
The following is a DFT calculation (PBE-GGA) of crystalline Rb2MgBr2 at its relaxed geometry. Values from VASP.

Energy relative to the lowest polymorph listed for this composition: 0.000 eV/atom
Energy relative to the elements, uncorrected: -1.05 eV per atom
Fermi-level density of states: 0.00 states/eV/atom
Calculated total energy: -12.11 eV per formula unit

Cell and atoms, written as Quantum ESPRESSO input:
```
&SYSTEM
  ibrav = 0, nat = 10, ntyp = 3
/
ATOMIC_SPECIES
Mg 24.30 Mg.upf
Br 79.90 Br.upf
Rb 85.47 Rb.upf
CELL_PARAMETERS angstrom
-0.5553 0.7292 -9.8018
5.1139 -8.3625 -0.9118
-3.6094 -2.2116 0.0400
ATOMIC_POSITIONS crystal
Mg 0.0000 0.0000 0.0000
Mg 0.5000 0.5000 0.0000
Br 0.1534 0.6534 0.5000
Br 0.6534 0.8466 0.5000
Br 0.8466 0.3466 0.5000
Br 0.3466 0.1534 0.5000
Rb 0.3575 0.8575 0.0000
Rb 0.8575 0.6425 0.0000
Rb 0.6425 0.1425 0.0000
Rb 0.1425 0.3575 0.0000
```

***

(5)
The following is a DFT calculation (PBE-GGA) of crystalline Rb2MgBr at its relaxed geometry. Values from VASP.

Energy relative to the lowest polymorph listed for this composition: 0.071 eV/atom
Energy relative to the elements, uncorrected: -0.46 eV per atom
Fermi-level density of states: 1.35 states/eV/atom
Calculated total energy: -7.04 eV per formula unit

Cell and atoms, written as Quantum ESPRESSO input:
```
&SYSTEM
  ibrav = 0, nat = 4, ntyp = 3
/
ATOMIC_SPECIES
Mg 24.30 Mg.upf
Br 79.90 Br.upf
Rb 85.47 Rb.upf
CELL_PARAMETERS angstrom
0.0000 4.5447 4.5447
4.5447 0.0000 4.5447
4.5447 4.5447 0.0000
ATOMIC_POSITIONS crystal
Mg 0.0000 0.0000 0.0000
Br 0.5000 0.5000 0.5000
Rb 0.2500 0.2500 0.2500
Rb 0.7500 0.7500 0.7500
```

***

(6)
The following is a DFT calculation (PBE-GGA) of crystalline Rb2Mg2Br at its relaxed geometry. Values from VASP.

Energy relative to the lowest polymorph listed for this composition: 0.000 eV/atom
Energy relative to the elements, uncorrected: -0.17 eV per atom
Fermi-level density of states: 0.31 states/eV/atom
Calculated total energy: -7.67 eV per formula unit

Cell and atoms, written as Quantum ESPRESSO input:
```
&SYSTEM
  ibrav = 0, nat = 10, ntyp = 3
/
ATOMIC_SPECIES
Mg 24.30 Mg.upf
Br 79.90 Br.upf
Rb 85.47 Rb.upf
CELL_PARAMETERS angstrom
9.0521 0.0000 0.0000
0.0000 9.0521 0.0000
0.0000 0.0000 5.7207
ATOMIC_POSITIONS crystal
Mg 0.3772 0.8772 0.0000
Mg 0.8772 0.6228 0.0000
Mg 0.6228 0.1228 0.0000
Mg 0.1228 0.3772 0.0000
Br 0.0000 0.0000 0.0000
Br 0.5000 0.5000 0.0000
Rb 0.1814 0.6814 0.5000
Rb 0.6814 0.8186 0.5000
Rb 0.8186 0.3186 0.5000
Rb 0.3186 0.1814 0.5000
```

***

(7)
The following is a DFT calculation (PBE-GGA) of crystalline Rb4Mg3Br10 at its relaxed geometry. Values from VASP.

Energy relative to the elements, uncorrected: -1.59 eV per atom
Fermi-level density of states: 0.00 states/eV/atom
Calculated total energy: -52.50 eV per formula unit

Cell and atoms, written as Quantum ESPRESSO input:
```
&SYSTEM
  ibrav = 0, nat = 17, ntyp = 3
/
ATOMIC_SPECIES
Rb 85.47 Rb.upf
Mg 24.30 Mg.upf
Br 79.90 Br.upf
CELL_PARAMETERS angstrom
-0.1000 -5.3984 0.0271
2.7479 -0.0276 4.6477
-17.9417 3.0702 7.4899
ATOMIC_POSITIONS crystal
Rb 0.5681 0.5681 0.1363
Rb 0.4319 0.4319 0.8637
Rb 0.2999 0.2999 0.5997
Rb 0.7001 0.7001 0.4003
Mg 0.1412 0.1412 0.2824
Mg 0.8588 0.8588 0.7176
Mg 0.0000 0.0000 0.0000
Br 0.1379 0.6379 0.2758
Br 0.0696 0.0696 0.1392
Br 0.6379 0.1379 0.2758
Br 0.8621 0.3621 0.7242
Br 0.3621 0.8621 0.7242
Br 0.9304 0.9304 0.8608
Br 0.2094 0.2094 0.4188
Br 0.7906 0.7906 0.5812
Br 0.0000 0.5000 0.0000
Br 0.5000 0.0000 0.0000
```

***

(8)
The following is a DFT calculation (PBE-GGA) of crystalline Rb2MgBr3 at its relaxed geometry. Values from VASP.

Energy relative to the elements, uncorrected: -1.34 eV per atom
Fermi-level density of states: 0.30 states/eV/atom
Calculated total energy: -16.60 eV per formula unit

Cell and atoms, written as Quantum ESPRESSO input:
```
&SYSTEM
  ibrav = 0, nat = 6, ntyp = 3
/
ATOMIC_SPECIES
Rb 85.47 Rb.upf
Mg 24.30 Mg.upf
Br 79.90 Br.upf
CELL_PARAMETERS angstrom
-4.3424 -1.1034 0.9306
1.6573 -4.8906 1.9347
2.2100 6.5665 6.8476
ATOMIC_POSITIONS crystal
Rb 0.6480 0.6480 0.2960
Rb 0.3520 0.3520 0.7040
Mg 0.0000 0.0000 0.0000
Br 0.0000 0.5000 0.0000
Br 0.8435 0.8435 0.6870
Br 0.1565 0.1565 0.3130
```

***

(9)
The following is a DFT calculation (PBE-GGA) of crystalline RbMgBr2 at its relaxed geometry. Values from VASP.

Energy relative to the lowest polymorph listed for this composition: 0.043 eV/atom
Energy relative to the elements, uncorrected: -1.05 eV per atom
Fermi-level density of states: 0.30 states/eV/atom
Calculated total energy: -10.10 eV per formula unit

Cell and atoms, written as Quantum ESPRESSO input:
```
&SYSTEM
  ibrav = 0, nat = 4, ntyp = 3
/
ATOMIC_SPECIES
Mg 24.30 Mg.upf
Br 79.90 Br.upf
Rb 85.47 Rb.upf
CELL_PARAMETERS angstrom
2.8579 -4.4019 8.0415
5.7676 -0.6487 7.6501
1.4096 -0.1023 9.4980
ATOMIC_POSITIONS crystal
Mg 0.0000 0.0000 0.0000
Br 0.9072 0.9072 0.9072
Br 0.0928 0.0928 0.0928
Rb 0.5000 0.5000 0.5000
```

***

(10)
The following is a DFT calculation (PBE-GGA) of crystalline Rb2MgBr at its relaxed geometry. Values from VASP.

Energy relative to the lowest polymorph listed for this composition: 0.000 eV/atom
Energy relative to the elements, uncorrected: -0.53 eV per atom
Fermi-level density of states: 0.86 states/eV/atom
Calculated total energy: -7.33 eV per formula unit

Cell and atoms, written as Quantum ESPRESSO input:
```
&SYSTEM
  ibrav = 0, nat = 8, ntyp = 3
/
ATOMIC_SPECIES
Mg 24.30 Mg.upf
Br 79.90 Br.upf
Rb 85.47 Rb.upf
CELL_PARAMETERS angstrom
-0.2341 9.8315 -0.3276
-8.3580 -0.0259 5.1926
-1.8280 5.0939 6.4060
ATOMIC_POSITIONS crystal
Mg 0.5000 0.5000 0.0000
Mg 0.2500 0.7500 0.5000
Br 0.0000 0.0000 0.0000
Br 0.7500 0.2500 0.5000
Rb 0.6802 0.1250 0.2500
Rb 0.0698 0.6250 0.2500
Rb 0.3750 0.3198 0.7500
Rb 0.8750 0.9302 0.7500
```

***

calculated total energy of number 1 (RbMg3Br)? -6.38 eV per formula unit